1.
Below is an optimized crystal structure of ZnPH, with properties calculated at the PBE-GGA level.

Cell: 6.815 4.539 7.323 Å, 90.00 111.76 90.00°
Space group Cc (No. 9)
Unique sites:
Zn1 0.000 0.100 0.000
P1 0.150 0.221 0.334
H1 0.021 0.474 0.328

Calculated total energy ... -3.44 eV/atom
ΔE to the lowest computed polymorph ... 6.9 meV per atom

***

2.
Below is an optimized crystal structure of ZnPH, with properties calculated at the PBE-GGA level.

Cell: 4.070 6.639 4.435 Å, 90.00 116.08 90.00°
Space group P2_1 (No. 4)
Unique sites:
Zn1 0.215 0.000 0.425
P1 0.322 0.670 0.653
H1 0.487 0.731 0.997

Calculated total energy ... -3.44 eV/atom
ΔE to the lowest computed polymorph ... 7.6 meV per atom

***

> Which value of ΔE to the lowest computed polymorph does entry 1 give?

6.9 meV per atom

***

Copy entry 1 word for word.
Below is an optimized crystal structure of ZnPH, with properties calculated at the PBE-GGA level.

Cell: 6.815 4.539 7.323 Å, 90.00 111.76 90.00°
Space group Cc (No. 9)
Unique sites:
Zn1 0.000 0.100 0.000
P1 0.150 0.221 0.334
H1 0.021 0.474 0.328

Calculated total energy ... -3.44 eV/atom
ΔE to the lowest computed polymorph ... 6.9 meV per atom

***

Repeat the first record exactly.
Below is an optimized crystal structure of ZnPH, with properties calculated at the PBE-GGA level.

Cell: 6.815 4.539 7.323 Å, 90.00 111.76 90.00°
Space group Cc (No. 9)
Unique sites:
Zn1 0.000 0.100 0.000
P1 0.150 0.221 0.334
H1 0.021 0.474 0.328

Calculated total energy ... -3.44 eV/atom
ΔE to the lowest computed polymorph ... 6.9 meV per atom